[1]
Material: MgZnNi
Method: DFT, PBE-GGA
State: optimized geometry

Output
ρ (g/cm³): 4.9
M_tot (μB per formula unit): 0.00
Energy of formation from the pure elements (meV/atom): -1
DOS(E_F) (states/eV per cell): 1.2
SG: F-43m (216)

a b c (Å): 4.1565 4.1565 4.1565
angles (deg): 60.00 60.00 60.00
With the nearest neighbours (Å) after each atom.
Fractional positions:
Mg (0.0000, 0.0000, 0.0000)  4 Ni 2.55
Zn (0.5000, 0.5000, 0.5000)  4 Ni 2.55
Ni (0.2500, 0.2500, 0.2500)  4 Mg 2.55, 4 Zn 2.55

---

[2]
Material: Mg2Zn15Ni2
Method: DFT, PBE-GGA
State: optimized geometry

Output
ρ (g/cm³): 6.5
M_tot (μB per formula unit): 0.00
Energy of formation from the pure elements (meV/atom): -32
DOS(E_F) (states/eV per cell): 4.9
SG: R-3m (166)

a b c (Å): 6.6999 6.6999 6.6999
angles (deg): 81.66 81.66 81.66
With the nearest neighbours (Å) after each atom.
Fractional positions:
Mg (0.1847, 0.1847, 0.1847)  1 Ni 2.86, 12 Zn 3.06-3.20
Mg (0.8153, 0.8153, 0.8153)  1 Ni 2.86, 12 Zn 3.06-3.20
Zn (0.0000, 0.5000, 0.5000)  8 Zn 2.54-2.56, 2 Ni 2.69
Zn (0.1476, 0.1476, 0.6486)  8 Zn 2.54-2.77, 1 Ni 2.78
Zn (0.1476, 0.6486, 0.1476)  8 Zn 2.54-2.77, 1 Ni 2.78
Zn (0.2096, 0.5000, 0.7904)  8 Zn 2.54-2.77
Zn (0.2096, 0.7904, 0.5000)  8 Zn 2.54-2.77
Zn (0.3514, 0.8524, 0.8524)  8 Zn 2.54-2.77, 1 Ni 2.78
Zn (0.5000, 0.0000, 0.5000)  8 Zn 2.54-2.56, 2 Ni 2.69
Zn (0.5000, 0.2096, 0.7904)  8 Zn 2.54-2.77
Zn (0.5000, 0.5000, 0.0000)  8 Zn 2.54-2.56, 2 Ni 2.69
Zn (0.5000, 0.7904, 0.2096)  8 Zn 2.54-2.77
Zn (0.6486, 0.1476, 0.1476)  8 Zn 2.54-2.77, 1 Ni 2.78
Zn (0.7904, 0.2096, 0.5000)  8 Zn 2.54-2.77
Zn (0.7904, 0.5000, 0.2096)  8 Zn 2.54-2.77
Zn (0.8524, 0.3514, 0.8524)  8 Zn 2.54-2.77, 1 Ni 2.78
Zn (0.8524, 0.8524, 0.3514)  8 Zn 2.54-2.77, 1 Ni 2.78
Ni (0.4019, 0.4019, 0.4019)  1 Ni 2.59, 12 Zn 2.69-2.85, 1 Mg 2.86
Ni (0.5981, 0.5981, 0.5981)  1 Ni 2.59, 12 Zn 2.69-2.85, 1 Mg 2.86

---

[3]
Material: MgZn3Ni
Method: DFT, PBE-GGA
State: optimized geometry

Output
ρ (g/cm³): 6.2
M_tot (μB per formula unit): 0.00
Energy of formation from the pure elements (meV/atom): -158
DOS(E_F) (states/eV per cell): 3.6
SG: P1 (1)

a b c (Å): 4.9854 5.0264 6.4003
angles (deg): 72.87 75.64 87.67
With the nearest neighbours (Å) after each atom.
Fractional positions:
Mg (0.0000, 0.0000, 0.0000)  2 Ni 2.69-2.91, 7 Zn 2.70-2.98
Mg (0.3912, 0.8840, 0.3600)  6 Zn 2.71-2.98, 2 Ni 2.79-2.85
Zn (0.2012, 0.4273, 0.1548)  6 Zn 2.47-2.67, 2 Ni 2.52-2.58
Zn (0.3081, 0.2943, 0.5617)  4 Zn 2.52-2.78, 2 Ni 2.54-2.55, 1 Mg 2.71
Zn (0.5245, 0.7971, 0.8161)  3 Ni 2.45-2.74, 3 Zn 2.54-2.62
Zn (0.5816, 0.2841, 0.8467)  6 Zn 2.52-2.64, 1 Mg 2.70, 2 Ni 2.70-2.77
Zn (0.6997, 0.4315, 0.1781)  5 Zn 2.47-2.66, 2 Ni 2.57-2.59
Zn (0.8642, 0.6201, 0.4685)  3 Ni 2.45-2.57, 3 Zn 2.61-2.67
Ni (0.0493, 0.6004, 0.7928)  5 Zn 2.45-2.66, 1 Mg 2.69
Ni (0.8760, 0.0969, 0.5056)  7 Zn 2.45-2.70

---

[4]
Material: MgZn4Ni5
Method: DFT, PBE-GGA
State: optimized geometry

Output
ρ (g/cm³): 7.7
M_tot (μB per formula unit): 0.00
Energy of formation from the pure elements (meV/atom): -219
DOS(E_F) (states/eV per cell): 5.9
SG: P4/mmm (123)

a b c (Å): 2.9696 2.9696 14.1521
angles (deg): 90.00 90.00 90.00
With the nearest neighbours (Å) after each atom.
Fractional positions:
Mg (0.0000, 0.0000, 0.0000)  8 Ni 2.63, 2 Zn 2.92
Zn (0.0000, 0.0000, 0.2064)  8 Ni 2.49-2.52, 1 Zn 2.77
Zn (0.0000, 0.0000, 0.4022)  8 Ni 2.51-2.52, 2 Zn 2.77
Zn (0.0000, 0.0000, 0.5978)  8 Ni 2.51-2.52, 2 Zn 2.77
Zn (0.0000, 0.0000, 0.7936)  8 Ni 2.49-2.52, 1 Zn 2.77
Ni (0.5000, 0.5000, 0.1115)  4 Zn 2.49, 4 Mg 2.63, 1 Ni 2.73
Ni (0.5000, 0.5000, 0.3045)  8 Zn 2.51-2.52, 2 Ni 2.73-2.77
Ni (0.5000, 0.5000, 0.5000)  8 Zn 2.52, 2 Ni 2.77
Ni (0.5000, 0.5000, 0.6955)  8 Zn 2.51-2.52, 2 Ni 2.73-2.77
Ni (0.5000, 0.5000, 0.8885)  4 Zn 2.49, 4 Mg 2.63, 1 Ni 2.73

---

[5]
Material: MgZnNi
Method: DFT, PBE-GGA
State: optimized geometry

Output
ρ (g/cm³): 5.6
M_tot (μB per formula unit): 0.00
Energy of formation from the pure elements (meV/atom): -177
DOS(E_F) (states/eV per cell): 1.2
SG: I4mm (107)

a b c (Å): 5.1643 5.1643 5.1643
angles (deg): 145.61 145.61 49.43
With the nearest neighbours (Å) after each atom.
Fractional positions:
Mg (0.0000, 0.0000, 0.0000)  4 Ni 2.68, 5 Zn 2.82-2.86
Zn (0.3007, 0.3007, 0.0000)  4 Ni 2.49
Ni (0.6690, 0.6690, 0.0000)  4 Zn 2.49, 4 Mg 2.68

---

[6]
Material: Mg2Zn3Ni
Method: DFT, PBE-GGA
State: optimized geometry

Output
ρ (g/cm³): 5.4
M_tot (μB per formula unit): 0.00
Energy of formation from the pure elements (meV/atom): -242
DOS(E_F) (states/eV per cell): 1.6
SG: C2/m (12)

a b c (Å): 5.0657 5.0657 5.0917
angles (deg): 119.82 119.82 60.69
With the nearest neighbours (Å) after each atom.
Fractional positions:
Mg (0.1288, 0.1288, 0.3713)  9 Zn 2.92-3.02, 3 Ni 2.97-2.99, 4 Mg 3.09-3.19
Mg (0.8712, 0.8712, 0.6287)  9 Zn 2.92-3.02, 3 Ni 2.97-2.99, 4 Mg 3.09-3.19
Zn (0.0000, 0.5000, 0.0000)  2 Ni 2.53, 4 Zn 2.55-2.56
Zn (0.5000, 0.0000, 0.0000)  2 Ni 2.53, 4 Zn 2.55-2.56
Zn (0.5000, 0.5000, 0.5000)  2 Ni 2.55, 4 Zn 2.55
Ni (0.5000, 0.5000, 0.0000)  6 Zn 2.53-2.55

---

[7]
Material: MgZn2Ni2
Method: DFT, PBE-GGA
State: optimized geometry

Output
ρ (g/cm³): 6.6
M_tot (μB per formula unit): 0.00
Energy of formation from the pure elements (meV/atom): -197
DOS(E_F) (states/eV per cell): 3.6
SG: P4/mbm (127)

a b c (Å): 7.0639 7.0639 2.7497
angles (deg): 90.00 90.00 90.00
With the nearest neighbours (Å) after each atom.
Fractional positions:
Mg (0.0000, 0.0000, 0.0000)  2 Mg 2.75, 4 Zn 2.78, 8 Ni 2.96
Mg (0.5000, 0.5000, 0.0000)  2 Mg 2.75, 4 Zn 2.78, 8 Ni 2.96
Zn (0.1287, 0.3713, 0.0000)  6 Ni 2.45-2.53, 1 Zn 2.57
Zn (0.3713, 0.8713, 0.0000)  6 Ni 2.45-2.53, 1 Zn 2.57
Zn (0.6287, 0.1287, 0.0000)  6 Ni 2.45-2.53, 1 Zn 2.57
Zn (0.8713, 0.6287, 0.0000)  6 Ni 2.45-2.53, 1 Zn 2.57
Ni (0.1687, 0.6687, 0.5000)  6 Zn 2.45-2.53
Ni (0.3313, 0.1687, 0.5000)  6 Zn 2.45-2.53
Ni (0.6687, 0.8313, 0.5000)  6 Zn 2.45-2.53
Ni (0.8313, 0.3313, 0.5000)  6 Zn 2.45-2.53

---

[8]
Material: MgZnNi
Method: DFT, PBE-GGA
State: optimized geometry

Output
ρ (g/cm³): 5.6
M_tot (μB per formula unit): 0.00
Energy of formation from the pure elements (meV/atom): -152
DOS(E_F) (states/eV per cell): 2.1
SG: P3m1 (156)

a b c (Å): 4.2325 4.2325 2.8550
angles (deg): 90.00 90.00 120.00
With the nearest neighbours (Å) after each atom.
Fractional positions:
Mg (0.0000, 0.0000, 0.0000)  6 Zn 2.82-2.84, 6 Ni 2.82-2.84, 2 Mg 2.86
Zn (0.3333, 0.6667, 0.5050)  3 Ni 2.44
Ni (0.6667, 0.3333, 0.4951)  3 Zn 2.44

---

Listing calculated total energy for the structures above in their given order: -8.653; -34.466; -23.971; -37.785; -9.182; -14.245; -33.379; -9.105 eV for the cell shown.